A plane-wave DFT calculation with PBE was carried out for a relaxed structure of SrGeTe2N.

Structure (CIF):
```
data_SrGeTe2N
_chemical_formula_sum 'Sr1 Ge1 Te2 N1'
_symmetry_space_group_name_H-M 'P 1'
_symmetry_Int_Tables_number 1
_symmetry_space_group_name_Hall 'P 1'
_cell_length_a 5.871
_cell_length_b 5.871
_cell_length_c 3.687
_cell_angle_alpha 90.00
_cell_angle_beta 90.00
_cell_angle_gamma 90.00
loop_
_atom_site_label
_atom_site_type_symbol
_atom_site_fract_x
_atom_site_fract_y
_atom_site_fract_z
_atom_site_occupancy
Sr1 Sr 0.000 0.000 0.000 1
Ge1 Ge 0.500 0.500 0.500 1
Te1 Te 0.000 0.500 0.500 1
Te2 Te 0.500 0.000 0.500 1
N1 N 0.500 0.500 0.000 1
```

Computed properties:
E above lowest polymorph in eV/atom: 0.0000
ΔE_f (raw) in meV per atom: -72
Theoretical density in g/cm³: 5.61